Record 1
{"formula": "Ac5Nd2Ir4", "functional": "PBE", "state": "optimized geometry", "lattice": [[11.5113, -2.0966, 0.0000], [11.5113, 2.0966, 0.0000], [-2.6132, 0.0000, 7.3666]], "species": ["Ac", "Ac", "Ac", "Ac", "Ac", "Nd", "Nd", "Ir", "Ir", "Ir", "Ir"], "fractional_positions": [[0.0000, 0.0000, 0.0000], [0.3233, 0.3233, 0.0547], [0.3288, 0.3288, 0.5792], [0.6712, 0.6712, 0.4208], [0.6767, 0.6767, 0.9453], [0.0695, 0.0695, 0.5909], [0.9305, 0.9305, 0.4091], [0.2059, 0.2059, 0.7141], [0.4778, 0.4778, 0.6804], [0.5222, 0.5222, 0.3196], [0.7941, 0.7941, 0.2859]], "space_group": "C2/m (12)", "formation_enthalpy_0k_ev_per_atom": -0.47, "final_energy_ry_per_atom": -0.472}

=====

Record 2
{"formula": "AcNd2Ir", "functional": "PBE", "state": "optimized geometry", "lattice": [[4.0387, 0.0000, 0.0000], [0.0000, 9.9950, 0.0000], [-2.0156, 0.0000, 6.2755]], "species": ["Ac", "Ac", "Nd", "Nd", "Nd", "Nd", "Ir", "Ir"], "fractional_positions": [[0.0784, 0.2500, 0.1586], [0.9216, 0.7500, 0.8414], [0.3548, 0.0694, 0.7091], [0.3548, 0.4306, 0.7091], [0.6452, 0.5694, 0.2909], [0.6452, 0.9306, 0.2909], [0.2376, 0.7500, 0.4748], [0.7624, 0.2500, 0.5252]], "space_group": "P2_1/m (11)", "polymorph_energy_ev_per_fu": 0.10, "formation_enthalpy_0k_ev_per_atom": -0.41, "final_energy_ry_per_atom": -0.444}

=====

Record 3
{"formula": "Ac8NdIr6", "functional": "PBE", "state": "optimized geometry", "lattice": [[3.7894, 2.1878, 10.1109], [-3.7894, 2.1878, 10.1109], [0.0000, -4.3757, 10.1109]], "species": ["Ac", "Ac", "Ac", "Ac", "Ac", "Ac", "Ac", "Ac", "Nd", "Ir", "Ir", "Ir", "Ir", "Ir", "Ir"], "fractional_positions": [[0.0588, 0.7282, 0.3937], [0.1667, 0.1667, 0.1667], [0.2718, 0.6063, 0.9412], [0.3937, 0.0588, 0.7282], [0.6063, 0.9412, 0.2718], [0.7282, 0.3937, 0.0588], [0.8333, 0.8333, 0.8333], [0.9412, 0.2718, 0.6063], [0.5000, 0.5000, 0.5000], [0.1138, 0.4419, 0.7699], [0.2301, 0.8862, 0.5581], [0.4419, 0.7699, 0.1138], [0.5581, 0.2301, 0.8862], [0.7699, 0.1138, 0.4419], [0.8862, 0.5581, 0.2301]], "space_group": "R-3 (148)", "formation_enthalpy_0k_ev_per_atom": -0.56, "final_energy_ry_per_atom": -0.486}

=====

Record 4
{"formula": "Ac2Nd3Ir3", "functional": "PBE", "state": "optimized geometry", "lattice": [[6.7264, -2.9290, 0.0000], [6.7264, 2.9290, 0.0000], [-0.4793, 0.0000, 14.0425]], "species": ["Ac", "Ac", "Ac", "Ac", "Nd", "Nd", "Nd", "Nd", "Nd", "Nd", "Ir", "Ir", "Ir", "Ir", "Ir", "Ir"], "fractional_positions": [[0.0000, 0.0000, 0.0000], [0.0138, 0.0138, 0.3608], [0.3303, 0.3303, 0.8553], [0.6347, 0.6347, 0.5582], [0.3568, 0.3568, 0.4891], [0.4180, 0.4180, 0.1836], [0.6059, 0.6059, 0.8202], [0.7248, 0.7248, 0.0468], [0.7319, 0.7319, 0.3139], [0.9267, 0.9267, 0.6827], [0.4580, 0.4580, 0.6756], [0.5177, 0.5177, 0.9973], [0.5310, 0.5310, 0.3689], [0.8121, 0.8121, 0.8640], [0.8349, 0.8349, 0.4911], [0.8833, 0.8833, 0.1808]], "space_group": "Cm (8)", "formation_enthalpy_0k_ev_per_atom": -0.49, "final_energy_ry_per_atom": -0.487}

=====

Record 5
{"formula": "AcNd4Ir", "functional": "PBE", "state": "optimized geometry", "lattice": [[-3.0479, 3.9169, 8.5236], [3.0479, -3.9169, 8.5236], [3.0479, 3.9169, -8.5236]], "species": ["Ac", "Ac", "Nd", "Nd", "Nd", "Nd", "Nd", "Nd", "Nd", "Nd", "Ir", "Ir"], "fractional_positions": [[0.1998, 0.1998, 0.0000], [0.8002, 0.8002, 0.0000], [0.1415, 0.3886, 0.7529], [0.2045, 0.0000, 0.2045], [0.3374, 0.8374, 0.5000], [0.3643, 0.6114, 0.7529], [0.6357, 0.3886, 0.2471], [0.6626, 0.1626, 0.5000], [0.7955, 0.0000, 0.7955], [0.8585, 0.6114, 0.2471], [0.5000, 0.2692, 0.7692], [0.5000, 0.7308, 0.2308]], "space_group": "Immm (71)", "formation_enthalpy_0k_ev_per_atom": -0.19, "final_energy_ry_per_atom": -0.407}

=====

Record 6
{"formula": "Ac3NdIr2", "functional": "PBE", "state": "optimized geometry", "lattice": [[9.0844, -2.1947, 0.0000], [9.0844, 2.1947, 0.0000], [-7.6616, 0.0000, 10.9447]], "species": ["Ac", "Ac", "Ac", "Ac", "Ac", "Ac", "Nd", "Nd", "Ir", "Ir", "Ir", "Ir"], "fractional_positions": [[0.0612, 0.0612, 0.1939], [0.1844, 0.1844, 0.5551], [0.3124, 0.3124, 0.9469], [0.6876, 0.6876, 0.0531], [0.8156, 0.8156, 0.4449], [0.9388, 0.9388, 0.8061], [0.4422, 0.4422, 0.3029], [0.5578, 0.5578, 0.6971], [0.1237, 0.1237, 0.8695], [0.3749, 0.3749, 0.6253], [0.6251, 0.6251, 0.3747], [0.8763, 0.8763, 0.1305]], "space_group": "C2/m (12)", "formation_enthalpy_0k_ev_per_atom": -0.56, "final_energy_ry_per_atom": -0.468}

=====

Record 7
{"formula": "Ac5NdIr3", "functional": "PBE", "state": "optimized geometry", "lattice": [[6.6405, -5.0301, 0.0000], [6.6405, 5.0301, 0.0000], [-4.3302, 0.0000, 9.8993]], "species": ["Ac", "Ac", "Ac", "Ac", "Ac", "Ac", "Ac", "Ac", "Ac", "Ac", "Nd", "Nd", "Ir", "Ir", "Ir", "Ir", "Ir", "Ir"], "fractional_positions": [[0.0619, 0.0619, 0.3640], [0.1332, 0.5301, 0.3373], [0.2019, 0.7981, 0.0000], [0.2676, 0.2676, 0.9643], [0.4699, 0.8668, 0.6627], [0.5301, 0.1332, 0.3373], [0.7324, 0.7324, 0.0357], [0.7981, 0.2019, 0.0000], [0.8668, 0.4699, 0.6627], [0.9381, 0.9381, 0.6360], [0.4027, 0.4027, 0.7031], [0.5973, 0.5973, 0.2969], [0.1656, 0.1656, 0.1659], [0.1729, 0.1729, 0.6627], [0.5000, 0.5000, 0.0000], [0.5000, 0.5000, 0.5000], [0.8271, 0.8271, 0.3373], [0.8344, 0.8344, 0.8341]], "space_group": "C2/m (12)", "formation_enthalpy_0k_ev_per_atom": -0.56, "final_energy_ry_per_atom": -0.465}

=====

Record 8
{"formula": "AcNdIr4", "functional": "PBE", "state": "optimized geometry", "lattice": [[0.0000, 3.8941, 3.8941], [3.8941, 0.0000, 3.8941], [3.8941, 3.8941, 0.0000]], "species": ["Ac", "Nd", "Ir", "Ir", "Ir", "Ir"], "fractional_positions": [[0.0000, 0.0000, 0.0000], [0.7500, 0.7500, 0.7500], [0.3754, 0.3754, 0.3754], [0.3754, 0.3754, 0.8739], [0.3754, 0.8739, 0.3754], [0.8739, 0.3754, 0.3754]], "space_group": "F-43m (216)", "formation_enthalpy_0k_ev_per_atom": -0.61, "final_energy_ry_per_atom": -0.588}